Zr2CrB: optimized geometry, PBE.

The structure belongs to space group I-42d (No. 122); the cell edges are 8.634, 8.634 and 3.949 Å and the angles 90.00°, 90.00° and 90.00°. The inequivalent atoms are Zr at (0.101, 0.250, 0.125), Cr at (0.000, 0.000, 0.500) and B at (0.000, 0.000, 0.000).

The value obtained for the formation energy is 0.246 eV/atom.

---

ZrCrB3: optimized geometry, PBE.

The structure belongs to space group Pm-3m (No. 221); the cell edges are 3.829, 3.829 and 3.829 Å and the angles 90.00°, 90.00° and 90.00°. The inequivalent atoms are Zr at (0.000, 0.000, 0.000), Cr at (0.500, 0.500, 0.500) and B at (0.000, 0.500, 0.500).

Its offset from the most stable computed form is 848.9 meV per atom. The value obtained for the formation energy is 0.190 eV/atom.

---

The lowest formation energy belongs to which entry?
ZrCrB3

---

What is the formation energy in the first record?
0.246 eV/atom

---

What is the formula in the first record?
Zr2CrB